Density functional theory data (GGA-PBE) for Er2TmPu3Te6 after structural relaxation.

Computed properties:
E_form (uncorrected)   -1.18 eV/atom
SG   No. 12

a = 4.3408 Å, b = 8.8025 Å, c = 9.8213 Å
α = 104.16°, β = 102.77°, γ = 90.00°
Positions (direct):
Er: 0.8331 0.6665 0.6663
Er: 0.1669 0.3335 0.3337
Te: 0.6643 0.0874 0.3286
Te: 0.0017 0.2443 0.0035
Te: 0.3357 0.9126 0.6714
Te: 0.6684 0.5786 0.3368
Te: 0.3316 0.4214 0.6632
Te: 0.9983 0.7557 0.9965
Pu: 0.5000 0.5000 0.0000
Pu: 0.8330 0.1669 0.6659
Pu: 0.1670 0.8331 0.3341
Tm: 0.5000 0.0000 0.0000

Density functional theory data (GGA-PBE) for Er3TmPu2Te6 after structural relaxation.

Computed properties:
E_form (uncorrected)   -1.19 eV/atom
SG   No. 12

a = 4.3302 Å, b = 8.7452 Å, c = 9.7451 Å
α = 103.38°, β = 102.84°, γ = 90.00°
Positions (direct):
Te: 0.3352 0.9234 0.6704
Te: 0.0036 0.7528 0.0071
Te: 0.9964 0.2472 0.9929
Te: 0.6650 0.5875 0.3301
Te: 0.3350 0.4125 0.6699
Te: 0.6648 0.0766 0.3296
Er: 0.8304 0.1655 0.6608
Er: 0.5000 0.5000 0.0000
Er: 0.1696 0.8345 0.3392
Pu: 0.1659 0.3329 0.3318
Pu: 0.8341 0.6671 0.6682
Tm: 0.5000 0.0000 0.0000

Density functional theory data (GGA-PBE) for ErTm3Pu2Te6 after structural relaxation.

Computed properties:
E_form (uncorrected)   -1.18 eV/atom
SG   No. 12

a = 4.3222 Å, b = 8.7390 Å, c = 9.7359 Å
α = 103.47°, β = 102.82°, γ = 90.00°
Positions (direct):
Te: 0.9963 0.2493 0.9926
Te: 0.3343 0.9241 0.6685
Te: 0.0037 0.7507 0.0074
Te: 0.3353 0.4118 0.6705
Te: 0.6647 0.5882 0.3295
Te: 0.6657 0.0759 0.3315
Er: 0.5000 0.0000 0.0000
Tm: 0.8310 0.1658 0.6619
Tm: 0.5000 0.5000 0.0000
Tm: 0.1690 0.8342 0.3381
Pu: 0.1658 0.3325 0.3316
Pu: 0.8342 0.6675 0.6684

Density functional theory data (GGA-PBE) for Er3Tm2PuTe6 after structural relaxation.

Computed properties:
E_form (uncorrected)   -1.20 eV/atom
SG   No. 12

a = 4.3082 Å, b = 8.6922 Å, c = 9.6965 Å
α = 103.10°, β = 102.84°, γ = 90.00°
Positions (direct):
Te: 0.0000 0.7444 0.0001
Te: 0.0000 0.2556 0.9999
Te: 0.3308 0.4179 0.6616
Te: 0.6702 0.0860 0.3404
Te: 0.3298 0.9140 0.6596
Te: 0.6692 0.5821 0.3384
Pu: 0.5000 0.0000 0.0000
Er: 0.1635 0.8344 0.3270
Er: 0.5000 0.5000 0.0000
Er: 0.8365 0.1656 0.6730
Tm: 0.8378 0.6734 0.6756
Tm: 0.1622 0.3266 0.3244

Density functional theory data (GGA-PBE) for YErPu2Te5 after structural relaxation.

Computed properties:
E_form (uncorrected)   -0.70 eV/atom
SG   No. 123

a = 5.4961 Å, b = 5.4961 Å, c = 11.5203 Å
α = 90.00°, β = 90.00°, γ = 90.00°
Positions (direct):
Y: 0.0000 0.0000 0.0000
Te: 0.5000 0.5000 0.0000
Te: 0.0000 0.0000 0.7553
Te: 0.5000 0.0000 0.5000
Te: 0.0000 0.5000 0.5000
Te: 0.0000 0.0000 0.2447
Pu: 0.5000 0.5000 0.3170
Pu: 0.5000 0.5000 0.6830
Er: 0.0000 0.0000 0.5000

Density functional theory data (GGA-PBE) for Y3Er2PuTe6 after structural relaxation.

Computed properties:
E_form (uncorrected)   -1.26 eV/atom
SG   No. 12

a = 4.3383 Å, b = 8.7535 Å, c = 9.7619 Å
α = 103.14°, β = 102.84°, γ = 90.00°
Positions (direct):
Te: 0.3310 0.9131 0.6620
Te: 0.6695 0.5808 0.3390
Te: 0.3305 0.4192 0.6610
Te: 0.6690 0.0869 0.3380
Te: 0.0004 0.2532 0.0008
Te: 0.9996 0.7468 0.9992
Y: 0.5000 0.5000 0.0000
Y: 0.1641 0.8346 0.3283
Y: 0.8359 0.1654 0.6717
Er: 0.1627 0.3273 0.3254
Er: 0.8373 0.6727 0.6746
Pu: 0.5000 0.0000 0.0000

Density functional theory data (GGA-PBE) for Y2Er3PuTe6 after structural relaxation.

Computed properties:
E_form (uncorrected)   -1.24 eV/atom
SG   No. 12

a = 4.3304 Å, b = 8.7401 Å, c = 9.7408 Å
α = 103.16°, β = 102.84°, γ = 90.00°
Positions (direct):
Y: 0.1634 0.3285 0.3269
Y: 0.8366 0.6715 0.6731
Pu: 0.5000 0.0000 0.0000
Te: 0.6693 0.0820 0.3386
Te: 0.9985 0.2548 0.9971
Te: 0.3327 0.4144 0.6654
Te: 0.3307 0.9180 0.6614
Te: 0.0015 0.7452 0.0029
Te: 0.6673 0.5856 0.3346
Er: 0.1653 0.8348 0.3305
Er: 0.5000 0.5000 0.0000
Er: 0.8347 0.1652 0.6695

Density functional theory data (GGA-PBE) for YEr2Pu3Te6 after structural relaxation.

Computed properties:
E_form (uncorrected)   -1.20 eV/atom
SG   No. 12

a = 4.3572 Å, b = 8.8119 Å, c = 9.8352 Å
α = 103.90°, β = 102.80°, γ = 90.00°
Positions (direct):
Er: 0.1664 0.3329 0.3328
Er: 0.8336 0.6671 0.6672
Te: 0.3314 0.4211 0.6627
Te: 0.0021 0.2483 0.0042
Te: 0.6661 0.0887 0.3321
Te: 0.6686 0.5789 0.3373
Te: 0.3339 0.9113 0.6679
Te: 0.9979 0.7517 0.9958
Pu: 0.8341 0.1666 0.6682
Pu: 0.5000 0.5000 0.0000
Pu: 0.1659 0.8334 0.3318
Y: 0.5000 0.0000 0.0000